Below is a PBEsol-optimized structure of Y2Ru, with properties calculated at the meta-GGA SCAN level.

Cell: 4.1938 7.5267 7.5267 Å, 120.00 90.00 90.00°
Fractional coordinates of all 9 atoms:
Ru 0.0000 0.3333 0.6667
Ru 0.5000 0.0000 0.0000
Ru 0.0000 0.6667 0.3333
Y 0.5000 0.0000 0.5882
Y 0.0000 0.7426 0.7426
Y 0.5000 0.4118 0.4118
Y 0.0000 0.0000 0.2574
Y 0.0000 0.2574 0.0000
Y 0.5000 0.5882 0.0000

Space group = P-62m, No. 189
Fermi-level density of states = 2.4 states/eV/cell
E_tot = -30.53 eV per atom